(1)
DFT (PBE-GGA) results for a relaxed Pm12Dy5Mg2 crystal.

abc: 9.213 9.139 8.574
angles: 92.06 90.00 120.27
Atoms (fractional coordinates):
Dy  0.000  0.000  0.500
Dy  0.232  0.464  0.572
Dy  0.703  0.405  0.025
Dy  0.297  0.595  0.975
Dy  0.768  0.536  0.428
Pm  0.080  0.161  0.882
Pm  0.036  0.702  0.764
Pm  0.432  0.254  0.679
Pm  0.441  0.881  0.661
Pm  0.179  0.746  0.321
Pm  0.920  0.839  0.118
Pm  0.559  0.119  0.339
Pm  0.964  0.298  0.236
Pm  0.568  0.746  0.321
Pm  0.667  0.702  0.764
Pm  0.333  0.298  0.236
Pm  0.821  0.254  0.679
Mg  0.665  0.000  0.000
Mg  0.335  0.000  0.000

Values from the calculation:
volume	32.789	Å³ per atom
mass density	6.93	g cm⁻³
size of the total moment	0.00	μB per cell
ΔH_f (0 K)	1.7	eV/f.u.
space-group type	C2/m, No. 12

***

(2)
DFT (PBE-GGA) results for a relaxed UMn2Re crystal.

abc: 3.603 4.058 4.058
angles: 90.00 90.00 90.00
Last column: magnetic moment on the atom in μB.
Atoms (fractional coordinates):
Mn  0.000  0.000  0.500  1.22
Mn  0.000  0.500  0.000  1.22
Re  0.500  0.500  0.500  0.09
U  0.500  0.000  0.000  -0.58

Values from the calculation:
volume	14.831	Å³ per atom
mass density	14.95	g cm⁻³
distance to the lowest polymorph of the same formula	0	meV per atom
size of the total moment	2.03	μB per cell
ΔH_f (0 K)	0.8	eV/f.u.
space-group type	P4/mmm, No. 123